Entry 1:
Here is a relaxed SbSeCl crystal from Alexandria. Energies are from PBE.

The calculation puts the raw formation energy at -0.44 eV per atom.

The structure belongs to space group I4mm (No. 107); the cell edges are 4.019, 4.019 and 13.541 Å and the angles 90.00°, 90.00° and 90.00°. The distinct sites, in fractional coordinates, are Sb at (0.000, 0.000, 0.000), Se at (0.000, 0.000, 0.466) and Cl at (0.000, 0.000, 0.175).

Entry 2:
Here is a relaxed RbAg3Mo crystal from Alexandria. Energies are from PBE.

The formation energy is 96 kJ/mol of atoms. For the excess energy over the best structure of this formula in the dataset, the calculation gives 0 meV/atom.

The structure belongs to space group Pm-3m (No. 221); the cell edges are 5.455, 5.455 and 5.455 Å and the angles 90.00°, 90.00° and 90.00°. The distinct sites, in fractional coordinates, are Rb at (0.000, 0.000, 0.000), Ag at (0.000, 0.500, 0.500) and Mo at (0.500, 0.500, 0.500).

Listing volume for the structures above in their given order: 36.45; 32.47 Å³ per atom.
Listing total moment for the structures above in their given order: 0.000; 0.800 μB per atom.